[1]
# PBE+U LiCdWF6, optimized geometry
data_LiCdWF6
_chemical_formula_sum 'Li2 Cd2 W2 F12'
_cell_length_a 5.4309
_cell_length_b 5.4309
_cell_length_c 9.6735
_cell_angle_alpha 90.00
_cell_angle_beta 90.00
_cell_angle_gamma 120.00
_space_group_name_H-M_alt 'P 1'
_space_group_IT_number 1
loop_
_space_group_symop_operation_xyz
'x,y,z'
loop_
_atom_site_label
_atom_site_fract_x
_atom_site_fract_y
_atom_site_fract_z
Li1 0.3333 0.6667 0.2500
Li2 0.6667 0.3333 0.7500
Cd1 0.0000 0.0000 0.0000
Cd2 0.0000 0.0000 0.5000
W1 0.6667 0.3333 0.2500
W2 0.3333 0.6667 0.7500
F1 0.6525 0.6589 0.1355
F2 0.0064 0.3475 0.1355
F3 0.3475 0.0065 0.6355
F4 0.9936 0.6525 0.8645
F5 0.3410 0.3475 0.3645
F6 0.0064 0.6589 0.3645
F7 0.6590 0.0065 0.8645
F8 0.6525 0.9935 0.3645
F9 0.9936 0.3411 0.6355
F10 0.3410 0.9935 0.1355
F11 0.6590 0.6525 0.6355
F12 0.3475 0.3411 0.8645
# space group	P-31c, No. 163
# crystal system	trigonal
# total magnetization	3.00	μB/f.u.
# VASP energy	-44.12	eV/f.u.


[2]
# PBE+U VO2, optimized geometry
data_VO2
_chemical_formula_sum 'V6 O12'
_cell_length_a 5.0102
_cell_length_b 9.1718
_cell_length_c 5.0114
_cell_angle_alpha 91.10
_cell_angle_beta 111.75
_cell_angle_gamma 91.08
_space_group_name_H-M_alt 'P 1'
_space_group_IT_number 1
loop_
_space_group_symop_operation_xyz
'x,y,z'
loop_
_atom_site_label
_atom_site_fract_x
_atom_site_fract_y
_atom_site_fract_z
V1 0.4952 0.5095 0.4904
V2 0.9332 0.7521 0.5814
V3 0.5648 0.7563 0.9340
V4 0.9840 0.0095 0.0015
V5 0.4278 0.2564 0.0713
V6 0.0753 0.2520 0.4398
O1 0.3015 0.1204 0.3049
O2 0.7985 0.6204 0.8078
O3 0.1975 0.3870 0.1993
O4 0.6926 0.8870 0.7038
O5 0.1026 0.1392 0.7677
O6 0.5929 0.6317 0.2619
O7 0.7556 0.1315 0.0999
O8 0.2611 0.6390 0.6094
O9 0.4006 0.3542 0.7380
O10 0.8907 0.8495 0.2433
O11 0.7372 0.3498 0.3969
O12 0.2314 0.8544 0.9064
# space group	Cc, No. 9
# crystal system	monoclinic
# total magnetization	1.00	μB/f.u.
# VASP energy	-23.16	eV/f.u.